No. 1
! Cs2HPdSe2 (PBE-GGA, optimized geometry); values from VASP
&SYSTEM
  ibrav = 0, nat = 12, ntyp = 4
/
ATOMIC_SPECIES
Cs 132.91 Cs.upf
H 1.01 H.upf
Pd 106.42 Pd.upf
Se 78.96 Se.upf
CELL_PARAMETERS angstrom
-5.1778 6.7019 3.2179
5.1778 -6.7019 3.2179
5.1778 6.7019 -3.2179
ATOMIC_POSITIONS crystal
Cs 0.1220 0.1692 0.2912
Cs 0.3780 0.6692 0.0472
Cs 0.6220 0.3308 0.9528
Cs 0.8780 0.8308 0.7088
H 0.2500 0.2500 0.0000
H 0.7500 0.7500 0.0000
Pd 0.2500 0.7500 0.5000
Pd 0.7500 0.2500 0.5000
Se 0.1016 0.6232 0.7248
Se 0.3984 0.1232 0.5216
Se 0.6016 0.8768 0.4784
Se 0.8984 0.3768 0.2752
! space group: Ibam
! final energy: -19.42 eV/f.u.
! V: 446.66 Å³/cell

***

No. 2
! Nd2Dy2Pd15 (PBE-GGA, optimized geometry); values from VASP
&SYSTEM
  ibrav = 0, nat = 19, ntyp = 3
/
ATOMIC_SPECIES
Nd 144.24 Nd.upf
Dy 162.50 Dy.upf
Pd 106.42 Pd.upf
CELL_PARAMETERS angstrom
4.6294 2.6728 4.7247
-4.6294 2.6728 4.7247
0.0000 -5.3455 4.7247
ATOMIC_POSITIONS crystal
Nd 0.1394 0.1394 0.1394
Nd 0.8606 0.8606 0.8606
Dy 0.3917 0.3917 0.3917
Dy 0.6083 0.6083 0.6083
Pd 0.0000 0.5000 0.5000
Pd 0.1503 0.1503 0.6590
Pd 0.1503 0.6590 0.1503
Pd 0.1941 0.5000 0.8059
Pd 0.1941 0.8059 0.5000
Pd 0.3410 0.8497 0.8497
Pd 0.5000 0.0000 0.5000
Pd 0.5000 0.1941 0.8059
Pd 0.5000 0.5000 0.0000
Pd 0.5000 0.8059 0.1941
Pd 0.6590 0.1503 0.1503
Pd 0.8059 0.1941 0.5000
Pd 0.8059 0.5000 0.1941
Pd 0.8497 0.3410 0.8497
Pd 0.8497 0.8497 0.3410
! space group: R-3m
! V: 350.76 Å³/cell
! energy of formation: -0.572 eV per atom

***

> Among the records above, which one has the lowest V?

Nd2Dy2Pd15

***

> Which value of V does entry 1 give?

446.66 Å³/cell